Na2SiF2 | GGA-PBE | optimized geometry

abc: 7.0772 7.0772 2.9058
angles: 90.00 90.00 90.00
Atoms (fractional coordinates):
1 Na 0.1433 0.3567 0.0000
2 Na 0.3567 0.8567 0.0000
3 Na 0.6433 0.1433 0.0000
4 Na 0.8567 0.6433 0.0000
5 Si 0.0000 0.0000 0.5000
6 Si 0.5000 0.5000 0.5000
7 F 0.1469 0.6469 0.5000
8 F 0.3531 0.1469 0.5000
9 F 0.6469 0.8531 0.5000
10 F 0.8531 0.3531 0.5000

## Properties
- Raw formation energy: -1.3881 eV/atom
- Fermi-level density of states: 0.305 states/eV/atom